[1]
Crystalline Co2CuOs at its relaxed geometry. Source: Alexandria, functional GGA-PBE.

ΔH_f (0 K): 211 meV per atom
space-group type: Pmm2

The structure in POSCAR format:
```
Co2CuOs
1.0
2.580 0.000 0.000
0.000 4.158 0.000
0.000 0.000 4.473
Co Cu Os
2 1 1
Direct
0.000 0.000 0.000
0.000 0.500 0.341
0.500 0.500 0.850
0.500 0.000 0.498
```

[2]
Crystalline Sc3ZnAg at its relaxed geometry. Source: Alexandria, functional GGA-PBE.

ΔH_f (0 K): 476 meV per atom
space-group type: Pm-3m

The structure in POSCAR format:
```
Sc3ZnAg
1.0
5.160 0.000 0.000
0.000 5.160 0.000
0.000 0.000 5.160
Sc Zn Ag
3 1 1
Direct
0.000 0.000 0.500
0.000 0.500 0.000
0.500 0.000 0.000
0.500 0.500 0.500
0.000 0.000 0.000
```

[3]
Crystalline InSb2TeS at its relaxed geometry. Source: Alexandria, functional GGA-PBE.

E_form (uncorrected): 0.983 eV/atom
space-group type: P4/mmm

The structure in POSCAR format:
```
InSb2TeS
1.0
5.672 0.000 0.000
0.000 5.672 0.000
0.000 0.000 5.527
In Sb Te S
1 2 1 1
Direct
0.000 0.000 0.000
0.000 0.500 0.000
0.500 0.000 0.000
0.000 0.000 0.500
0.500 0.500 0.500
```

[4]
Crystalline Re2TcAs at its relaxed geometry. Source: Alexandria, functional GGA-PBE.

ΔH_f (0 K): 150 meV per atom
space-group type: Immm

The structure in POSCAR format:
```
Re2TcAs
1.0
-1.484 2.218 4.475
1.484 -2.218 4.475
1.484 2.218 -4.475
Re Tc As
2 1 1
Direct
0.225 0.225 0.000
0.775 0.775 0.000
0.500 0.000 0.500
0.000 0.500 0.500
```

[5]
Crystalline Ti4Zn at its relaxed geometry. Source: Alexandria, functional GGA-PBE.

ΔH_f (0 K): 15 meV per atom
space-group type: Imma

The structure in POSCAR format:
```
Ti4Zn
1.0
-2.190 2.804 6.685
2.190 -2.804 6.685
2.190 2.804 -6.685
Ti Zn
8 2
Direct
0.000 0.000 0.000
0.199 0.199 0.000
0.301 0.801 0.500
0.353 0.603 0.750
0.500 0.000 0.500
0.647 0.397 0.250
0.699 0.199 0.500
0.801 0.801 0.000
0.141 0.391 0.750
0.859 0.609 0.250
```

[6]
Crystalline Pa3Tl4SnO12 at its relaxed geometry. Source: Alexandria, functional GGA-PBE.

E_form (uncorrected): -2.313 eV/atom
space-group type: Im-3m

The structure in POSCAR format:
```
Pa3Tl4SnO12
1.0
-4.346 4.346 4.346
4.346 -4.346 4.346
4.346 4.346 -4.346
Pa Tl Sn O
3 4 1 12
Direct
0.000 0.500 0.500
0.500 0.000 0.500
0.500 0.500 0.000
0.000 0.000 0.500
0.000 0.500 0.000
0.500 0.000 0.000
0.500 0.500 0.500
0.000 0.000 0.000
0.000 0.247 0.247
0.000 0.753 0.753
0.247 0.000 0.247
0.247 0.247 0.000
0.250 0.500 0.750
0.250 0.750 0.500
0.500 0.250 0.750
0.500 0.750 0.250
0.750 0.250 0.500
0.750 0.500 0.250
0.753 0.000 0.753
0.753 0.753 0.000
```

[7]
Crystalline Ta2Be3Al at its relaxed geometry. Source: Alexandria, functional GGA-PBE.

ΔH_f (0 K): -280 meV per atom
space-group type: P6_3/mmc

The structure in POSCAR format:
```
Ta2Be3Al
1.0
4.766 0.000 0.000
-2.383 4.127 0.000
0.000 0.000 7.692
Ta Be Al
4 6 2
Direct
0.333 0.667 0.067
0.333 0.667 0.433
0.667 0.333 0.567
0.667 0.333 0.933
0.180 0.360 0.750
0.180 0.820 0.750
0.360 0.180 0.250
0.640 0.820 0.750
0.820 0.180 0.250
0.820 0.640 0.250
0.000 0.000 0.000
0.000 0.000 0.500
```

[8]
Crystalline TbNdIn2Te4 at its relaxed geometry. Source: Alexandria, functional GGA-PBE.

E_form (uncorrected): -0.983 eV/atom
space-group type: P2/m

The structure in POSCAR format:
```
TbNdIn2Te4
1.0
7.753 0.000 0.000
0.000 4.473 0.000
-2.579 0.000 8.108
Tb Nd In Te
1 1 2 4
Direct
0.000 0.000 0.000
0.500 0.500 0.000
0.000 0.500 0.500
0.500 0.000 0.500
0.234 0.500 0.222
0.252 0.000 0.774
0.748 0.000 0.226
0.766 0.500 0.778
```